Li2PuMnO4 (PBE with a Hubbard U, optimized geometry); spin magnetization = 7.0 μB/f.u.; final energy = -7.68 eV per atom; crystal system = monoclinic
1.0
5.255 0.000 0.000
0.000 3.398 0.000
-1.374 0.000 5.083
Li Pu Mn O
2 1 1 4
Direct
0.000 0.000 0.000
0.500 0.500 0.000
0.000 0.500 0.500
0.500 0.000 0.500
0.238 0.000 0.731
0.267 0.500 0.255
0.733 0.500 0.745
0.762 0.000 0.269